# 1
Density functional theory data (PBE) for a relaxed Dy2ScTi2Rh5 crystal.

Unit cell a=10.0438 b=10.0438 c=3.5792 alpha=90.00 beta=90.00 gamma=90.00
Fractional positions:
Dy 0.1770 0.3230 0.0000
Dy 0.3230 0.8230 0.0000
Dy 0.6770 0.1770 0.0000
Dy 0.8230 0.6770 0.0000
Sc 0.0000 0.0000 0.0000
Sc 0.5000 0.5000 0.0000
Ti 0.1225 0.6225 0.0000
Ti 0.3775 0.1225 0.0000
Ti 0.6225 0.8775 0.0000
Ti 0.8775 0.3775 0.0000
Rh 0.0000 0.5000 0.5000
Rh 0.0662 0.7919 0.5000
Rh 0.2081 0.0662 0.5000
Rh 0.2919 0.5662 0.5000
Rh 0.4338 0.2919 0.5000
Rh 0.5000 0.0000 0.5000
Rh 0.5662 0.7081 0.5000
Rh 0.7081 0.4338 0.5000
Rh 0.7919 0.9338 0.5000
Rh 0.9338 0.2081 0.5000

M_tot, μB/f.u.: 0.000
SG: P4/mbm, No. 127
Final energy, Ry/atom: -0.5537
V, Å³/cell: 361.1
Formation energy, meV/atom: -725


# 2
Density functional theory data (PBE) for a relaxed DyTm2ScRh4 crystal.

Unit cell a=8.2315 b=8.2315 c=8.2315 alpha=33.46 beta=33.46 gamma=33.46
Fractional positions:
Dy 0.0000 0.0000 0.0000
Tm 0.2479 0.2479 0.2479
Tm 0.7521 0.7521 0.7521
Sc 0.5000 0.5000 0.5000
Rh 0.1271 0.1271 0.1271
Rh 0.3777 0.3777 0.3777
Rh 0.6223 0.6223 0.6223
Rh 0.8729 0.8729 0.8729

M_tot, μB/f.u.: 0.000
SG: R-3m, No. 166
Final energy, Ry/atom: -0.5227
V, Å³/cell: 151.0
Formation energy, meV/atom: -952


# 3
Density functional theory data (PBE) for a relaxed DyTmScRh crystal.

Unit cell a=5.0407 b=5.0407 c=5.0407 alpha=60.00 beta=60.00 gamma=60.00
Fractional positions:
Dy 0.0000 0.0000 0.0000
Tm 0.5000 0.5000 0.5000
Sc 0.7500 0.7500 0.7500
Rh 0.2500 0.2500 0.2500

M_tot, μB/f.u.: 0.001
SG: F-43m, No. 216
Final energy, Ry/atom: -0.4348
V, Å³/cell: 90.6
Formation energy, meV/atom: -227


# 4
Density functional theory data (PBE) for a relaxed DyYScRh crystal.

Unit cell a=5.0805 b=5.0805 c=5.0805 alpha=60.00 beta=60.00 gamma=60.00
Fractional positions:
Dy 0.0000 0.0000 0.0000
Y 0.5000 0.5000 0.5000
Sc 0.2500 0.2500 0.2500
Rh 0.7500 0.7500 0.7500

M_tot, μB/f.u.: 0.003
SG: F-43m, No. 216
Final energy, Ry/atom: -0.4690
V, Å³/cell: 92.7
Formation energy, meV/atom: -194


# 5
Density functional theory data (PBE) for a relaxed DyZrSc2Rh4 crystal.

Unit cell a=8.1125 b=8.1125 c=8.1125 alpha=33.41 beta=33.41 gamma=33.41
Fractional positions:
Dy 0.0000 0.0000 0.0000
Zr 0.5000 0.5000 0.5000
Sc 0.2491 0.2491 0.2491
Sc 0.7509 0.7509 0.7509
Rh 0.1289 0.1289 0.1289
Rh 0.3794 0.3794 0.3794
Rh 0.6206 0.6206 0.6206
Rh 0.8711 0.8711 0.8711

M_tot, μB/f.u.: 0.000
SG: R-3m, No. 166
Final energy, Ry/atom: -0.5746
V, Å³/cell: 144.2
Formation energy, meV/atom: -915


# 6
Density functional theory data (PBE) for a relaxed Dy7RhSe5 crystal.

Unit cell a=7.0177 b=7.0177 c=24.3726 alpha=90.00 beta=90.00 gamma=147.28
Fractional positions:
Dy 0.0452 0.9548 0.5000
Dy 0.1386 0.8614 0.2125
Dy 0.1397 0.8603 0.7880
Dy 0.2925 0.7075 0.4314
Dy 0.2936 0.7064 0.5688
Dy 0.4093 0.5907 0.1314
Dy 0.4112 0.5888 0.8676
Dy 0.5888 0.4112 0.3676
Dy 0.5907 0.4093 0.6314
Dy 0.7064 0.2936 0.0688
Dy 0.7075 0.2925 0.9314
Dy 0.8603 0.1397 0.2880
Dy 0.8614 0.1386 0.7125
Dy 0.9548 0.0452 0.0000
Rh 0.3101 0.6899 0.0010
Rh 0.6899 0.3101 0.5010
Se 0.0571 0.9429 0.1060
Se 0.0581 0.9419 0.8944
Se 0.2197 0.7803 0.3210
Se 0.2208 0.7792 0.6793
Se 0.4992 0.5008 0.2499
Se 0.5008 0.4992 0.7499
Se 0.7792 0.2208 0.1793
Se 0.7803 0.2197 0.8210
Se 0.9419 0.0581 0.3944
Se 0.9429 0.0571 0.6060

M_tot, μB/f.u.: 0.000
SG: Cmc2_1, No. 36
Final energy, Ry/atom: -0.4350
ΔE_f (raw), eV/atom: -1.535
V, Å³/cell: 648.8


# 7
Density functional theory data (PBE) for a relaxed Dy2RhSe crystal.

Unit cell a=3.4788 b=3.4788 c=7.1840 alpha=90.00 beta=90.00 gamma=90.00
Fractional positions:
Dy 0.0000 0.0000 0.2342
Dy 0.0000 0.0000 0.7658
Rh 0.5000 0.5000 0.0000
Se 0.5000 0.5000 0.5000

Excess energy over the best structure of this formula in the dataset, eV/f.u.: 0.61
M_tot, μB/f.u.: 0.000
SG: P4/mmm, No. 123
Final energy, Ry/atom: -0.4526
ΔE_f (raw), eV/atom: -1.148
V, Å³/cell: 86.9


# 8
Density functional theory data (PBE) for a relaxed Dy4RhSe3 crystal.

Unit cell a=7.1581 b=7.1581 c=4.0075 alpha=90.00 beta=90.00 gamma=108.63
Fractional positions:
Dy 0.2289 0.2289 0.5000
Dy 0.2406 0.7594 0.0000
Dy 0.7594 0.2406 0.0000
Dy 0.7711 0.7711 0.5000
Rh 0.0000 0.0000 0.0000
Se 0.0000 0.5000 0.5000
Se 0.5000 0.0000 0.5000
Se 0.5000 0.5000 0.0000

M_tot, μB/f.u.: 0.000
SG: Cmmm, No. 65
Final energy, Ry/atom: -0.4436
ΔE_f (raw), eV/atom: -1.509
V, Å³/cell: 194.6


# 9
Density functional theory data (PBE) for a relaxed DyRhSe2 crystal.

Unit cell a=8.4729 b=8.4729 c=8.4729 alpha=25.66 beta=25.66 gamma=25.66
Fractional positions:
Dy 0.0000 0.0000 0.0000
Rh 0.5000 0.5000 0.5000
Se 0.1148 0.1148 0.1148
Se 0.8852 0.8852 0.8852

M_tot, μB/f.u.: 0.000
SG: R-3m, No. 166
Final energy, Ry/atom: -0.3833
ΔE_f (raw), eV/atom: -0.485
V, Å³/cell: 100.4


# 10
Density functional theory data (PBE) for a relaxed Dy2RhSe crystal.

Unit cell a=7.4497 b=7.4497 c=7.4497 alpha=30.72 beta=30.72 gamma=30.72
Fractional positions:
Dy 0.2429 0.2429 0.2429
Dy 0.7571 0.7571 0.7571
Rh 0.5000 0.5000 0.5000
Se 0.0000 0.0000 0.0000

Excess energy over the best structure of this formula in the dataset, eV/f.u.: 0.24
M_tot, μB/f.u.: 0.000
SG: R-3m, No. 166
Final energy, Ry/atom: -0.4594
ΔE_f (raw), eV/atom: -1.240
V, Å³/cell: 95.7


# 11
Density functional theory data (PBE) for a relaxed Dy2RhSe crystal.

Unit cell a=7.5025 b=7.5025 c=7.5025 alpha=30.59 beta=30.59 gamma=30.59
Fractional positions:
Dy 0.0000 0.0000 0.0000
Dy 0.1847 0.1847 0.1847
Rh 0.5914 0.5914 0.5914
Se 0.4255 0.4255 0.4255

Excess energy over the best structure of this formula in the dataset, eV/f.u.: 0.37
M_tot, μB/f.u.: 0.000
SG: R3m, No. 160
Final energy, Ry/atom: -0.4570
ΔE_f (raw), eV/atom: -1.207
V, Å³/cell: 97.0


# 12
Density functional theory data (PBE) for a relaxed Dy5Rh2Se2 crystal.

Unit cell a=8.3856 b=8.3856 c=7.6054 alpha=90.00 beta=90.00 gamma=54.04
Fractional positions:
Dy 0.0000 0.0000 0.0000
Dy 0.0360 0.7125 0.6569
Dy 0.2125 0.5360 0.1569
Dy 0.2875 0.9640 0.6569
Dy 0.4640 0.7875 0.1569
Dy 0.5000 0.5000 0.5000
Dy 0.5360 0.2125 0.8431
Dy 0.7125 0.0360 0.3431
Dy 0.7875 0.4640 0.8431
Dy 0.9640 0.2875 0.3431
Rh 0.1399 0.8601 0.3626
Rh 0.3601 0.6399 0.8626
Rh 0.6399 0.3601 0.1374
Rh 0.8601 0.1399 0.6374
Se 0.2071 0.2071 0.0000
Se 0.2929 0.2929 0.5000
Se 0.7071 0.7071 0.5000
Se 0.7929 0.7929 0.0000

M_tot, μB/f.u.: 0.000
SG: Cmce, No. 64
Final energy, Ry/atom: -0.4500
ΔE_f (raw), eV/atom: -1.157
V, Å³/cell: 432.9


# 13
Density functional theory data (PBE) for a relaxed DyRhSe crystal.

Unit cell a=4.3041 b=4.3041 c=3.6615 alpha=90.00 beta=90.00 gamma=120.00
Fractional positions:
Dy 0.0000 0.0000 0.0000
Rh 0.3333 0.6667 0.4819
Se 0.6667 0.3333 0.5133

M_tot, μB/f.u.: 0.000
SG: P3m1, No. 156
Final energy, Ry/atom: -0.4634
ΔE_f (raw), eV/atom: -1.158
V, Å³/cell: 58.7


# 14
Density functional theory data (PBE) for a relaxed Dy2RhSe crystal.

Unit cell a=11.4392 b=11.4392 c=4.1712 alpha=90.00 beta=90.00 gamma=160.34
Fractional positions:
Dy 0.0626 0.9374 0.7500
Dy 0.3278 0.6722 0.7500
Dy 0.6722 0.3278 0.2500
Dy 0.9374 0.0626 0.2500
Rh 0.4553 0.5447 0.7500
Rh 0.5447 0.4553 0.2500
Se 0.1940 0.8060 0.7500
Se 0.8060 0.1940 0.2500

Excess energy over the best structure of this formula in the dataset, eV/f.u.: 0.00
M_tot, μB/f.u.: 0.000
SG: Cmcm, No. 63
Final energy, Ry/atom: -0.4638
ΔE_f (raw), eV/atom: -1.300
V, Å³/cell: 183.6


# 15
Density functional theory data (PBE) for a relaxed DyRhSe crystal.

Unit cell a=4.6102 b=5.3180 c=5.5826 alpha=90.00 beta=114.07 gamma=90.00
Fractional positions:
Dy 0.0037 0.2500 0.2307
Dy 0.9963 0.7500 0.7693
Rh 0.3300 0.7500 0.3630
Rh 0.6700 0.2500 0.6370
Se 0.2583 0.2500 0.8058
Se 0.7417 0.7500 0.1942

M_tot, μB/f.u.: 0.000
SG: P2_1/m, No. 11
Final energy, Ry/atom: -0.4532
ΔE_f (raw), eV/atom: -1.020
V, Å³/cell: 125.0


# 16
Density functional theory data (PBE) for a relaxed Dy6Te3Rh2Se crystal.

Unit cell a=7.2133 b=7.2133 c=7.5884 alpha=99.26 beta=99.26 gamma=120.08
Fractional positions:
Dy 0.0791 0.4307 0.7869
Dy 0.2189 0.2189 0.2109
Dy 0.4307 0.0791 0.7869
Dy 0.5693 0.9209 0.2131
Dy 0.7811 0.7811 0.7891
Dy 0.9209 0.5693 0.2131
Te 0.0000 0.0000 0.5000
Te 0.3394 0.6606 0.5000
Te 0.6606 0.3394 0.5000
Rh 0.1677 0.8323 0.0000
Rh 0.8323 0.1677 0.0000
Se 0.5000 0.5000 0.0000

M_tot, μB/f.u.: 0.000
SG: C2/m, No. 12
Final energy, Ry/atom: -0.4287
ΔE_f (raw), eV/atom: -1.231
V, Å³/cell: 323.4


# 17
Density functional theory data (PBE) for a relaxed Dy4TeRhSe2 crystal.

Unit cell a=7.2878 b=4.0698 c=7.3109 alpha=90.00 beta=108.41 gamma=90.00
Fractional positions:
Dy 0.2322 0.0000 0.2190
Dy 0.2536 0.5000 0.7766
Dy 0.7464 0.5000 0.2234
Dy 0.7678 0.0000 0.7810
Te 0.0000 0.0000 0.5000
Rh 0.0000 0.5000 0.0000
Se 0.5000 0.0000 0.0000
Se 0.5000 0.5000 0.5000

M_tot, μB/f.u.: 0.000
SG: P2/m, No. 10
Final energy, Ry/atom: -0.4298
ΔE_f (raw), eV/atom: -1.364
V, Å³/cell: 205.7


# 18
Density functional theory data (PBE) for a relaxed Dy6TeRh2Se3 crystal.

Unit cell a=9.3267 b=9.3267 c=8.5410 alpha=105.52 beta=105.52 gamma=24.92
Fractional positions:
Dy 0.0150 0.0150 0.2734
Dy 0.3227 0.3227 0.8750
Dy 0.3293 0.3293 0.4182
Dy 0.6707 0.6707 0.5818
Dy 0.6773 0.6773 0.1250
Dy 0.9850 0.9850 0.7266
Te 0.5000 0.5000 0.0000
Rh 0.1734 0.1734 0.3520
Rh 0.8266 0.8266 0.6480
Se 0.1577 0.1577 0.8466
Se 0.5000 0.5000 0.5000
Se 0.8423 0.8423 0.1534

M_tot, μB/f.u.: 0.000
SG: C2/m, No. 12
Final energy, Ry/atom: -0.4420
ΔE_f (raw), eV/atom: -1.354
V, Å³/cell: 301.0


# 19
Density functional theory data (PBE) for a relaxed DyThRhSe crystal.

Unit cell a=7.7049 b=7.7049 c=7.7049 alpha=30.36 beta=30.36 gamma=30.36
Fractional positions:
Dy 0.0000 0.0000 0.0000
Th 0.1887 0.1887 0.1887
Rh 0.5914 0.5914 0.5914
Se 0.7582 0.7582 0.7582

M_tot, μB/f.u.: 0.000
SG: R3m, No. 160
Final energy, Ry/atom: -0.5099
ΔE_f (raw), eV/atom: -1.223
V, Å³/cell: 103.5


# 20
Density functional theory data (PBE) for a relaxed DySi2Rh3 crystal.

Unit cell a=5.5289 b=5.5289 c=3.6636 alpha=90.00 beta=90.00 gamma=120.00
Fractional positions:
Dy 0.0000 0.0000 0.0000
Si 0.3333 0.6667 0.0000
Si 0.6667 0.3333 0.0000
Rh 0.0000 0.5000 0.5000
Rh 0.5000 0.0000 0.5000
Rh 0.5000 0.5000 0.5000

M_tot, μB/f.u.: 0.000
SG: P6/mmm, No. 191
Final energy, Ry/atom: -0.5350
ΔE_f (raw), eV/atom: -1.028
V, Å³/cell: 97.0


# 21
Density functional theory data (PBE) for a relaxed Dy2Si5Rh3 crystal.

Unit cell a=8.1121 b=8.1121 c=5.6877 alpha=108.89 beta=108.89 gamma=93.53
Fractional positions:
Dy 0.0993 0.3670 0.2399
Dy 0.3670 0.0993 0.7399
Dy 0.6330 0.9007 0.2601
Dy 0.9007 0.6330 0.7601
Si 0.0120 0.9880 0.7500
Si 0.2334 0.4415 0.8380
Si 0.2765 0.7235 0.7500
Si 0.2902 0.7098 0.2500
Si 0.4415 0.2334 0.3380
Si 0.5585 0.7666 0.6620
Si 0.7098 0.2902 0.7500
Si 0.7235 0.2765 0.2500
Si 0.7666 0.5585 0.1620
Si 0.9880 0.0120 0.2500
Rh 0.0399 0.7600 0.3738
Rh 0.2400 0.9601 0.1262
Rh 0.4984 0.5016 0.2500
Rh 0.5016 0.4984 0.7500
Rh 0.7600 0.0399 0.8738
Rh 0.9601 0.2400 0.6262

M_tot, μB/f.u.: 0.000
SG: C2/c, No. 15
Final energy, Ry/atom: -0.5010
ΔE_f (raw), eV/atom: -0.979
V, Å³/cell: 329.2


# 22
Density functional theory data (PBE) for a relaxed DySiRh3 crystal.

Unit cell a=6.9570 b=6.9570 c=3.5873 alpha=90.00 beta=90.00 gamma=108.65
Fractional positions:
Dy 0.2248 0.7752 0.0000
Dy 0.7752 0.2248 0.0000
Si 0.2107 0.2107 0.0000
Si 0.7893 0.7893 0.0000
Rh 0.0000 0.0000 0.5000
Rh 0.1732 0.4279 0.5000
Rh 0.4279 0.1732 0.5000
Rh 0.5000 0.5000 0.0000
Rh 0.5721 0.8268 0.5000
Rh 0.8268 0.5721 0.5000

Excess energy over the best structure of this formula in the dataset, eV/f.u.: 0.00
M_tot, μB/f.u.: 0.000
SG: Cmmm, No. 65
Final energy, Ry/atom: -0.5298
ΔE_f (raw), eV/atom: -0.792
V, Å³/cell: 164.5